The following is a PBE+U calculation of a relaxed ZrNi4O crystal, from the Alexandria database.

The calculated volume is 12.25 Å³ per atom. The value obtained for the density of states at the Fermi level is 2.77 states/eV/f.u. As for the symmetry: No. 216. For the density, the calculation gives 7.7 g/cm3. Its total energy is -3.19 eV per atom.

Structure (extended XYZ):
```
6
Lattice="0.000 3.325 3.325 3.325 0.000 3.325 3.325 3.325 0.000" Properties=species:S:1:pos:R:3 pbc="T T T"
Zr 0.000 0.000 0.000
Ni 4.156 4.156 2.494
Ni 2.494 2.494 2.494
Ni 4.156 2.494 4.156
Ni 2.494 4.156 4.156
O 4.987 4.987 4.987
```